Crystalline Na3Bi3Pd5 at its relaxed geometry, computed with GGA-PBE.

Cell: 8.221 8.221 5.498 Å, 90.00 90.00 120.00°
Atoms (fractional coordinates):
Na1 0.000 0.601 0.000
Na2 0.399 0.399 0.000
Na3 0.601 0.000 0.000
Bi1 0.000 0.344 0.500
Bi2 0.344 0.000 0.500
Bi3 0.656 0.656 0.500
Pd1 0.000 0.691 0.500
Pd2 0.309 0.309 0.500
Pd3 0.333 0.667 0.500
Pd4 0.667 0.333 0.500
Pd5 0.691 0.000 0.500

Properties
**D(E_F)**: 0.57 states/eV per atom
**Size of the total moment**: 0.000 Bohr magnetons per cell
**Energy relative to the elements**: -0.140 eV per atom
**Crystal system**: hexagonal



Crystalline NaBi12Pd6 at its relaxed geometry, computed with GGA-PBE.

Cell: 8.517 8.517 8.517 Å, 106.27 106.27 106.27°
Atoms (fractional coordinates):
Na1 0.000 0.000 0.000
Bi1 0.121 0.500 0.879
Bi2 0.121 0.879 0.500
Bi3 0.171 0.429 0.429
Bi4 0.429 0.171 0.429
Bi5 0.429 0.429 0.171
Bi6 0.500 0.121 0.879
Bi7 0.500 0.879 0.121
Bi8 0.571 0.571 0.829
Bi9 0.571 0.829 0.571
Bi10 0.829 0.571 0.571
Bi11 0.879 0.121 0.500
Bi12 0.879 0.500 0.121
Pd1 0.260 0.260 0.710
Pd2 0.260 0.710 0.260
Pd3 0.290 0.740 0.740
Pd4 0.710 0.260 0.260
Pd5 0.740 0.290 0.740
Pd6 0.740 0.740 0.290

Properties
**D(E_F)**: 0.39 states/eV per atom
**Size of the total moment**: 0.000 Bohr magnetons per cell
**Energy relative to the elements**: -0.161 eV per atom
**Crystal system**: trigonal